Material: ReTe2MoI
Method: DFT, SCAN
State: single point on PBEsol structure

```
ReTe2MoI
1.0
5.177 0.000 0.000
0.000 5.177 0.000
0.000 0.000 5.486
I Mo Te Re
1 1 2 1
Direct
0.000 0.000 0.500 I
0.000 0.000 0.000 Mo
0.500 0.000 0.000 Te
0.000 0.500 0.000 Te
0.500 0.500 0.500 Re
```

Properties
* uncorrected formation energy: 1.6111 eV/atom
* DOS(E_F): 0.73 states/eV per atom
* space group: P4/mmm (123)